No. 1
Ho3CoTe2: relaxed, PBE.

Summary:
Total energy, eV/cell: -31.5
Space group: Cmmm (65)

a b c (Å): 7.869 7.869 4.023
angles (deg): 90.00 90.00 135.69
Positions (direct):
Ho  0.000  0.000  0.000
Ho  0.380  0.620  0.500
Ho  0.620  0.380  0.500
Co  0.500  0.500  0.000
Te  0.163  0.837  0.500
Te  0.837  0.163  0.500

No. 2
Li2Ir3O8: relaxed, PBE.

Summary:
Total energy, eV/cell: -82.8
Space group: C2/m (12)

a b c (Å): 5.723 5.723 5.313
angles (deg): 98.38 98.38 65.53
Positions (direct):
Li  0.202  0.202  0.075
Li  0.798  0.798  0.925
Ir  0.241  0.759  0.500
Ir  0.500  0.500  0.000
Ir  0.759  0.241  0.500
O  0.109  0.109  0.397
O  0.166  0.615  0.150
O  0.385  0.834  0.850
O  0.403  0.403  0.631
O  0.597  0.597  0.369
O  0.615  0.166  0.150
O  0.834  0.385  0.850
O  0.891  0.891  0.603

No. 3
Mg2Ag2P: relaxed, PBE.

Summary:
Energy above the lowest structure with this stoichiometry, meV per atom: 0.0
Total energy, eV/cell: -28.9
Space group: P4/mbm (127)
Calculated formation energy, eV/atom: -0.03

a b c (Å): 6.788 6.788 4.140
angles (deg): 90.00 90.00 90.00
Positions (direct):
Mg  0.163  0.337  0.000
Mg  0.337  0.837  0.000
Mg  0.663  0.163  0.000
Mg  0.837  0.663  0.000
Ag  0.143  0.643  0.500
Ag  0.357  0.143  0.500
Ag  0.643  0.857  0.500
Ag  0.857  0.357  0.500
P  0.000  0.000  0.500
P  0.500  0.500  0.500

No. 4
KScW2: relaxed, PBE.

Summary:
Energy above the lowest structure with this stoichiometry, meV per atom: 727.9
Total energy, eV/cell: -27.9
Space group: I4/mmm (139)
Calculated formation energy, eV/atom: 1.35

a b c (Å): 5.926 5.926 5.926
angles (deg): 141.86 141.86 55.04
Positions (direct):
K  0.000  0.000  0.000
Sc  0.500  0.500  0.000
W  0.250  0.750  0.500
W  0.750  0.250  0.500

No. 5
Ac3CoGe: relaxed, PBE.

Summary:
Energy above the lowest structure with this stoichiometry, meV per atom: 68.8
Total energy, eV/cell: -24.9
Space group: Pm-3m (221)
Calculated formation energy, eV/atom: -0.17

a b c (Å): 5.463 5.463 5.463
angles (deg): 90.00 90.00 90.00
Positions (direct):
Ac  0.000  0.000  0.500
Ac  0.000  0.500  0.000
Ac  0.500  0.000  0.000
Co  0.000  0.000  0.000
Ge  0.500  0.500  0.500

No. 6
NiAsRuSe2: relaxed, PBE.

Summary:
Energy above the lowest structure with this stoichiometry, meV per atom: 0.0
Total energy, eV/cell: -22.7
Space group: P4/mmm (123)

a b c (Å): 4.643 4.643 4.395
angles (deg): 90.00 90.00 90.00
Positions (direct):
Ni  0.000  0.000  0.000
As  0.000  0.000  0.500
Ru  0.500  0.500  0.500
Se  0.000  0.500  0.000
Se  0.500  0.000  0.000